Entry 1:
Material: Pm2Pr4Er
Method: DFT, GGA-PBE
State: optimized geometry

Properties
ΔE to the lowest computed polymorph: 0.0 meV/atom
ΔH_f (0 K): 0.06 eV per atom
total magnetization: 0.0 Bohr magnetons per cell
N(E_F): 11.1 states/eV/f.u.

```
data_Pm2Pr4Er
_cell_length_a 6.548
_cell_length_b 24.598
_cell_length_c 6.921
_cell_angle_alpha 90.00
_cell_angle_beta 118.19
_cell_angle_gamma 90.00
_symmetry_space_group_name_H-M 'C 1 c 1'
_symmetry_Int_Tables_number 9
_symmetry_space_group_name_Hall 'C -2yc'
loop_
_atom_site_label
_atom_site_type_symbol
_atom_site_fract_x
_atom_site_fract_y
_atom_site_fract_z
Pm1 Pm 0.000 0.089 0.000
Pm2 Pm 0.455 0.161 0.909
Pr1 Pr 0.064 0.481 0.585
Pr2 Pr 0.079 0.055 0.555
Pr3 Pr 0.435 0.269 0.326
Pr4 Pr 0.477 0.305 0.854
Er1 Er 0.031 0.375 0.954
```

Entry 2:
Material: Cu3Ru
Method: DFT, GGA-PBE
State: optimized geometry

Properties
ΔH_f (0 K): 0.27 eV per atom
total magnetization: 0.0 Bohr magnetons per cell
N(E_F): 3.8 states/eV/f.u.

```
data_Cu3Ru
_cell_length_a 3.726
_cell_length_b 3.726
_cell_length_c 14.503
_cell_angle_alpha 90.00
_cell_angle_beta 90.00
_cell_angle_gamma 90.00
_symmetry_space_group_name_H-M 'I 4/m m m'
_symmetry_Int_Tables_number 139
_symmetry_space_group_name_Hall '-I 4 2'
loop_
_atom_site_label
_atom_site_type_symbol
_atom_site_fract_x
_atom_site_fract_y
_atom_site_fract_z
Cu1 Cu 0.000 0.000 0.126
Cu2 Cu 0.000 0.500 0.000
Cu3 Cu 0.000 0.500 0.250
Ru1 Ru 0.000 0.000 0.375
```

Entry 3:
Material: EuThSc
Method: DFT, GGA-PBE
State: optimized geometry

Properties
ΔH_f (0 K): 0.13 eV per atom
total magnetization: 7.6 Bohr magnetons per cell
N(E_F): 4.6 states/eV/f.u.

```
data_EuThSc
_cell_length_a 3.5424
_cell_length_b 3.5424
_cell_length_c 8.6558
_cell_angle_alpha 90.00
_cell_angle_beta 90.00
_cell_angle_gamma 120.00
_symmetry_space_group_name_H-M 'P 3 m 1'
_symmetry_Int_Tables_number 156
_symmetry_space_group_name_Hall 'P 3 -2"'
loop_
_atom_site_label
_atom_site_type_symbol
_atom_site_fract_x
_atom_site_fract_y
_atom_site_fract_z
Eu1 Eu 0.0000 0.0000 0.0000
Th1 Th 0.3333 0.6667 0.6461
Sc1 Sc 0.6667 0.3333 0.3421
```

Entry 4:
Material: YHoAl4
Method: DFT, GGA-PBE
State: optimized geometry

Properties
ΔH_f (0 K): -0.52 eV per atom
total magnetization: 0.0 Bohr magnetons per cell
N(E_F): 5.2 states/eV/f.u.

```
data_YHoAl4
_cell_length_a 7.859
_cell_length_b 7.859
_cell_length_c 7.859
_cell_angle_alpha 90.00
_cell_angle_beta 90.00
_cell_angle_gamma 90.00
_symmetry_space_group_name_H-M 'F -4 3 m'
_symmetry_Int_Tables_number 216
_symmetry_space_group_name_Hall 'F -4 2 3'
loop_
_atom_site_label
_atom_site_type_symbol
_atom_site_fract_x
_atom_site_fract_y
_atom_site_fract_z
Y1 Y 0.000 0.000 0.000
Ho1 Ho 0.250 0.250 0.250
Al1 Al 0.125 0.125 0.625
```

Entry 5:
Material: Pr6TlCu
Method: DFT, GGA-PBE
State: optimized geometry

Properties
ΔH_f (0 K): 0.08 eV per atom
total magnetization: 0.0 Bohr magnetons per cell
N(E_F): 11.4 states/eV/f.u.

```
data_Pr6TlCu
_cell_length_a 7.379
_cell_length_b 11.884
_cell_length_c 6.872
_cell_angle_alpha 90.00
_cell_angle_beta 115.08
_cell_angle_gamma 90.00
_symmetry_space_group_name_H-M 'C 1 2/m 1'
_symmetry_Int_Tables_number 12
_symmetry_space_group_name_Hall '-C 2y'
loop_
_atom_site_label
_atom_site_type_symbol
_atom_site_fract_x
_atom_site_fract_y
_atom_site_fract_z
Pr1 Pr 0.204 0.204 0.242
Pr2 Pr 0.236 0.000 0.783
Tl1 Tl 0.000 0.500 0.500
Cu1 Cu 0.000 0.000 0.000
```

Entry 6:
Material: TlInTe3As
Method: DFT, GGA-PBE
State: optimized geometry

Properties
total magnetization: 0.0 Bohr magnetons per cell
uncorrected formation energy: -121 meV/atom
N(E_F): 1.3 states/eV/f.u.

```
data_TlInTe3As
_cell_length_a 9.226
_cell_length_b 4.289
_cell_length_c 11.023
_cell_angle_alpha 90.00
_cell_angle_beta 101.32
_cell_angle_gamma 90.00
_symmetry_space_group_name_H-M 'P 1 21/m 1'
_symmetry_Int_Tables_number 11
_symmetry_space_group_name_Hall '-P 2yb'
loop_
_atom_site_label
_atom_site_type_symbol
_atom_site_fract_x
_atom_site_fract_y
_atom_site_fract_z
Tl1 Tl 0.158 0.250 0.199
In1 In 0.111 0.250 0.625
Te1 Te 0.134 0.250 0.884
Te2 Te 0.211 0.750 0.487
Te3 Te 0.438 0.750 0.137
As1 As 0.368 0.750 0.866
```

Entry 7:
Material: NdErAgPd
Method: DFT, GGA-PBE
State: optimized geometry

Properties
ΔE to the lowest computed polymorph: 0.0 meV/atom
ΔH_f (0 K): -0.56 eV per atom
total magnetization: 0.0 Bohr magnetons per cell
N(E_F): 4.0 states/eV/f.u.

```
data_NdErAgPd
_cell_length_a 3.591
_cell_length_b 3.591
_cell_length_c 7.333
_cell_angle_alpha 90.00
_cell_angle_beta 90.00
_cell_angle_gamma 90.00
_symmetry_space_group_name_H-M 'P 4 m m'
_symmetry_Int_Tables_number 99
_symmetry_space_group_name_Hall 'P 4 -2'
loop_
_atom_site_label
_atom_site_type_symbol
_atom_site_fract_x
_atom_site_fract_y
_atom_site_fract_z
Nd1 Nd 0.000 0.000 0.000
Er1 Er 0.000 0.000 0.477
Ag1 Ag 0.500 0.500 0.718
Pd1 Pd 0.500 0.500 0.263
```

Entry 8:
Material: Pm2Tm7Sc
Method: DFT, GGA-PBE
State: optimized geometry

Properties
ΔH_f (0 K): 0.17 eV per atom
total magnetization: 0.0 Bohr magnetons per cell
N(E_F): 14.2 states/eV/f.u.

```
data_Pm2Tm7Sc
_cell_length_a 6.394
_cell_length_b 28.321
_cell_length_c 3.434
_cell_angle_alpha 90.00
_cell_angle_beta 90.00
_cell_angle_gamma 90.00
_symmetry_space_group_name_H-M 'C m m m'
_symmetry_Int_Tables_number 65
_symmetry_space_group_name_Hall '-C 2 2'
loop_
_atom_site_label
_atom_site_type_symbol
_atom_site_fract_x
_atom_site_fract_y
_atom_site_fract_z
Pm1 Pm 0.000 0.208 0.000
Tm1 Tm 0.000 0.000 0.000
Tm2 Tm 0.000 0.317 0.500
Tm3 Tm 0.244 0.404 0.000
Sc1 Sc 0.000 0.500 0.500
```

Entry 9:
Material: Y2TaIr
Method: DFT, GGA-PBE
State: optimized geometry

Properties
ΔE to the lowest computed polymorph: 379.2 meV/atom
ΔH_f (0 K): 0.14 eV per atom
total magnetization: 0.0 Bohr magnetons per cell
N(E_F): 4.8 states/eV/f.u.

```
data_Y2TaIr
_cell_length_a 4.112
_cell_length_b 4.112
_cell_length_c 10.285
_cell_angle_alpha 90.00
_cell_angle_beta 90.00
_cell_angle_gamma 90.00
_symmetry_space_group_name_H-M 'I -4 m 2'
_symmetry_Int_Tables_number 119
_symmetry_space_group_name_Hall 'I -4 -2'
loop_
_atom_site_label
_atom_site_type_symbol
_atom_site_fract_x
_atom_site_fract_y
_atom_site_fract_z
Y1 Y 0.000 0.000 0.000
Y2 Y 0.000 0.500 0.250
Ta1 Ta 0.000 0.000 0.500
Ir1 Ir 0.000 0.500 0.750
```

Entry 10:
Material: ZrBRu3
Method: DFT, GGA-PBE
State: optimized geometry

Properties
ΔH_f (0 K): 0.29 eV per atom
total magnetization: 0.0 Bohr magnetons per cell
N(E_F): 4.5 states/eV/f.u.

```
data_ZrBRu3
_cell_length_a 3.3634
_cell_length_b 3.3634
_cell_length_c 16.2137
_cell_angle_alpha 90.00
_cell_angle_beta 90.00
_cell_angle_gamma 120.00
_symmetry_space_group_name_H-M 'P 63/m m c'
_symmetry_Int_Tables_number 194
_symmetry_space_group_name_Hall '-P 6c 2c'
loop_
_atom_site_label
_atom_site_type_symbol
_atom_site_fract_x
_atom_site_fract_y
_atom_site_fract_z
Zr1 Zr 0.0000 0.0000 0.0000
B1 B 0.3333 0.6667 0.2500
Ru1 Ru 0.0000 0.0000 0.2500
Ru2 Ru 0.3333 0.6667 0.1194
```

Entry 11:
Material: RbTiSn2Pb
Method: DFT, GGA-PBE
State: optimized geometry

Properties
ΔH_f (0 K): -0.08 eV per atom
total magnetization: 0.0 Bohr magnetons per cell
N(E_F): 2.6 states/eV/f.u.

```
data_RbTiSn2Pb
_cell_length_a 5.416
_cell_length_b 5.416
_cell_length_c 5.502
_cell_angle_alpha 90.00
_cell_angle_beta 90.00
_cell_angle_gamma 90.00
_symmetry_space_group_name_H-M 'P 4/m m m'
_symmetry_Int_Tables_number 123
_symmetry_space_group_name_Hall '-P 4 2'
loop_
_atom_site_label
_atom_site_type_symbol
_atom_site_fract_x
_atom_site_fract_y
_atom_site_fract_z
Rb1 Rb 0.000 0.000 0.000
Ti1 Ti 0.500 0.500 0.500
Sn1 Sn 0.000 0.500 0.500
Pb1 Pb 0.500 0.500 0.000
```

Question: What is the total magnetization in the fourth record?
Answer: 0.0 Bohr magnetons per cell

Question: Which value of total magnetization does entry 3 give?
Answer: 7.6 Bohr magnetons per cell